No. 1
VASP calculation (GGA-PBE) on crystalline KAsCl2 at its relaxed geometry.

Results
energy relative to the elements, uncorrected = -592 meV per atom

Cell lengths 7.419, 7.419, 4.243 Å; angles 89.87, 89.87, 29.99 degrees
Each line ends with the local moment (μB).
Fractional positions:
As  0.245  0.245  0.126  0.59
K  0.468  0.468  0.624  0.01
Cl  0.033  0.033  0.124  0.10
Cl  0.753  0.753  0.626  0.03


No. 2
VASP calculation (GGA-PBE) on crystalline LaBi2Pb2 at its relaxed geometry.

Results
energy of formation = -206.4 kJ/mol of formula units

Cell lengths 4.721, 4.787, 14.394 Å; angles 90.00, 99.44, 90.00 degrees
Fractional positions:
La  0.342  0.250  0.685
La  0.658  0.750  0.315
Bi  0.750  0.250  0.499
Bi  0.250  0.750  0.501
Bi  0.861  0.750  0.722
Bi  0.139  0.250  0.278
Pb  0.049  0.750  0.097
Pb  0.451  0.750  0.901
Pb  0.951  0.250  0.903
Pb  0.549  0.250  0.099


No. 3
VASP calculation (GGA-PBE) on crystalline RePtAu2 at its relaxed geometry.

Results
energy of formation = 206.3 kJ/mol of formula units

Cell lengths 4.554, 4.554, 4.554 Å; angles 60.00, 60.00, 60.00 degrees
Each line ends with the local moment (μB).
Fractional positions:
Au  0.000  0.000  0.000  0.00
Au  0.250  0.250  0.250  0.01
Pt  0.500  0.500  0.500  0.00
Re  0.750  0.750  0.750  0.82


No. 4
VASP calculation (GGA-PBE) on crystalline K2CdGaAu6 at its relaxed geometry.

Results
energy of formation = -248.8 kJ/mol of formula units

Cell lengths 7.043, 7.350, 7.047 Å; angles 61.50, 60.05, 90.23 degrees
Fractional positions:
K  0.293  0.879  0.414
K  0.707  0.121  0.586
Cd  0.000  0.000  0.000
Ga  0.500  0.500  0.000
Au  0.147  0.632  0.112
Au  0.743  0.631  0.111
Au  0.256  0.369  0.485
Au  0.853  0.368  0.888
Au  0.257  0.369  0.889
Au  0.744  0.631  0.515


No. 5
VASP calculation (GGA-PBE) on crystalline Er4TcRh at its relaxed geometry.

Results
energy of formation = -116.0 kJ/mol of formula units

Cell lengths 7.590, 7.590, 7.590 Å; angles 107.34, 107.34, 113.82 degrees
Fractional positions:
Er  0.247  0.948  0.701
Er  0.753  0.451  0.698
Er  0.698  0.497  0.201
Er  0.201  0.003  0.198
Er  0.296  0.497  0.799
Er  0.806  0.003  0.802
Er  0.753  0.056  0.302
Er  0.247  0.546  0.299
Tc  0.250  0.250  0.000
Tc  0.000  0.500  0.500
Rh  0.749  0.749  0.000
Rh  0.499  0.999  0.500


No. 6
VASP calculation (GGA-PBE) on crystalline NdGa4Ag at its relaxed geometry.

Results
energy of formation = -129.6 kJ/mol of formula units

Cell lengths 5.558, 5.558, 5.558 Å; angles 60.00, 60.00, 60.00 degrees
Fractional positions:
Nd  0.250  0.250  0.250
Ga  0.625  0.625  0.125
Ga  0.625  0.125  0.625
Ga  0.625  0.625  0.625
Ga  0.125  0.625  0.625
Ag  0.000  0.000  0.000


No. 7
VASP calculation (GGA-PBE) on crystalline RbY3Si at its relaxed geometry.

Results
energy relative to the elements, uncorrected = 169 meV per atom

Cell lengths 5.658, 5.658, 5.658 Å; angles 90.00, 90.00, 90.00 degrees
Fractional positions:
Y  0.000  0.500  0.000
Y  0.000  0.000  0.500
Y  0.500  0.000  0.000
Si  0.000  0.000  0.000
Rb  0.500  0.500  0.500


No. 8
VASP calculation (GGA-PBE) on crystalline La2Zn3Pd at its relaxed geometry.

Results
energy of formation = -297.0 kJ/mol of formula units

Cell lengths 5.949, 5.949, 9.143 Å; angles 113.02, 113.02, 78.35 degrees
Fractional positions:
La  0.750  0.250  0.500
La  0.741  0.259  0.000
La  0.250  0.750  0.500
La  0.259  0.741  0.000
Zn  0.835  0.835  0.166
Zn  0.669  0.669  0.834
Zn  0.165  0.165  0.834
Zn  0.331  0.331  0.166
Zn  0.165  0.165  0.331
Zn  0.835  0.835  0.669
Pd  0.666  0.666  0.333
Pd  0.334  0.334  0.667


No. 9
VASP calculation (GGA-PBE) on crystalline BaLi6Ag12 at its relaxed geometry.

Results
energy of formation = -143.9 kJ/mol of formula units

Cell lengths 7.432, 7.432, 7.432 Å; angles 104.79, 104.79, 104.79 degrees
Fractional positions:
Ba  0.000  0.000  0.000
Li  0.704  0.266  0.266
Li  0.266  0.266  0.704
Li  0.266  0.704  0.266
Li  0.734  0.734  0.296
Li  0.296  0.734  0.734
Li  0.734  0.296  0.734
Ag  0.881  0.119  0.500
Ag  0.845  0.584  0.584
Ag  0.584  0.584  0.845
Ag  0.416  0.155  0.416
Ag  0.416  0.416  0.155
Ag  0.155  0.416  0.416
Ag  0.119  0.500  0.881
Ag  0.500  0.881  0.119
Ag  0.119  0.881  0.500
Ag  0.881  0.500  0.119
Ag  0.500  0.119  0.881
Ag  0.584  0.845  0.584


No. 10
VASP calculation (GGA-PBE) on crystalline CaCuBPt2 at its relaxed geometry.

Results
energy of formation = -225.3 kJ/mol of formula units

Cell lengths 4.295, 4.295, 4.230 Å; angles 90.00, 90.00, 90.00 degrees
Fractional positions:
Ca  0.500  0.500  0.500
B  0.000  0.000  0.000
Cu  0.000  0.000  0.500
Pt  0.000  0.500  0.000
Pt  0.500  0.000  0.000


No. 11
VASP calculation (GGA-PBE) on crystalline KCa2Te at its relaxed geometry.

Results
energy relative to the elements, uncorrected = -635 meV per atom

Cell lengths 7.646, 7.646, 7.646 Å; angles 149.22, 132.41, 57.75 degrees
Fractional positions:
Ca  0.068  0.068  0.000
Ca  0.432  0.432  0.000
K  0.750  0.250  0.500
Te  0.250  0.750  0.500


No. 12
VASP calculation (GGA-PBE) on crystalline BeCd2BiPb at its relaxed geometry.

Results
energy of formation = 162.7 kJ/mol of formula units

Cell lengths 4.835, 5.424, 4.835 Å; angles 90.00, 90.00, 90.00 degrees
Fractional positions:
Pb  0.000  0.500  0.000
Be  0.000  0.000  0.000
Bi  0.500  0.500  0.500
Cd  0.000  0.000  0.500
Cd  0.500  0.000  0.000


No. 13
VASP calculation (GGA-PBE) on crystalline Mn2CoCl at its relaxed geometry.

Results
energy relative to the elements, uncorrected = 504 meV per atom

Cell lengths 4.938, 4.938, 4.938 Å; angles 144.47, 121.95, 69.94 degrees
Each line ends with the local moment (μB).
Fractional positions:
Mn  0.998  0.998  0.000  3.52
Mn  0.502  0.502  0.000  3.52
Co  0.250  0.750  0.500  1.76
Cl  0.750  0.250  0.500  0.13


No. 14
VASP calculation (GGA-PBE) on crystalline Sm4SnBiC at its relaxed geometry.

Results
energy of formation = -408.4 kJ/mol of formula units

Cell lengths 7.015, 7.017, 8.870 Å; angles 90.00, 113.29, 90.00 degrees
Fractional positions:
Sm  0.910  0.250  0.819
Sm  0.406  0.750  0.811
Sm  0.090  0.750  0.181
Sm  0.594  0.250  0.189
Sm  0.500  0.500  0.500
Sm  0.000  0.000  0.500
Sm  0.500  0.000  0.500
Sm  0.000  0.500  0.500
Sn  0.110  0.250  0.220
Sn  0.890  0.750  0.780
Bi  0.607  0.750  0.213
Bi  0.393  0.250  0.787
C  0.249  0.750  0.498
C  0.751  0.250  0.502


No. 15
VASP calculation (GGA-PBE) on crystalline LiCa2P at its relaxed geometry.

Results
energy of formation = -216.2 kJ/mol of formula units

Cell lengths 4.013, 4.809, 4.809 Å; angles 90.00, 90.00, 90.00 degrees
Fractional positions:
P  0.500  0.500  0.500
Ca  0.000  0.000  0.500
Ca  0.000  0.500  0.000
Li  0.500  0.000  0.000